A plane-wave DFT calculation with PBE was carried out for a geometry-optimized La5Os3 structure.

Unit cell a=6.6101 b=7.8463 c=9.0857 alpha=85.79 beta=68.72 gamma=78.35
Last column: nearest neighbours and their distance in Å.
Space group P-1 (No. 2)
One atom of each set of equivalent atoms:
La: 0.0094 0.1996 0.1118 (multiplicity 2)  4 Os 2.94-3.17
La: 0.1589 0.3728 0.7176 (multiplicity 2)  4 Os 2.86-3.10
La: 0.2649 0.9525 0.5003 (multiplicity 2)  4 Os 2.77-3.10
La: 0.3764 0.3731 0.2834 (multiplicity 2)  4 Os 2.86-3.11
La: 0.3787 0.8005 0.1122 (multiplicity 2)  4 Os 2.94-3.17
Os: 0.0390 0.6913 0.4999 (multiplicity 2)  4 La 2.77-3.10
Os: 0.2508 0.5000 0.9979 (multiplicity 2)  8 La 2.96-3.11, 2 Os 3.30-3.31
Os: 0.3489 0.0000 0.8018 (multiplicity 2)  8 La 2.94-3.17

* energy of formation from the pure elements: -0.090 eV/atom
* energy above the lowest structure with this stoichiometry: 0 meV/atom
* total magnetization: 0.000 Bohr magnetons per cell
* electronic total energy: -7.38 eV per atom

=====

A plane-wave DFT calculation with PBE was carried out for a geometry-optimized PaCuSiH structure.

Unit cell a=4.0429 b=4.0429 c=3.9912 alpha=90.00 beta=90.00 gamma=120.00
Last column: nearest neighbours and their distance in Å.
Space group P-6m2 (No. 187)
One atom of each set of equivalent atoms:
Pa: 0.0000 0.0000 0.0000 (multiplicity 1)  3 H 2.33
Cu: 0.6667 0.3333 0.5000 (multiplicity 1)  2 H 2.00
Si: 0.3333 0.6667 0.5000 (multiplicity 1)  3 Cu 2.33
H: 0.6667 0.3333 0.0000 (multiplicity 1)  2 Cu 2.00

* total magnetization: 0.000 Bohr magnetons per cell
* electronic total energy: -6.08 eV per atom

=====

A plane-wave DFT calculation with PBE was carried out for a geometry-optimized Ho8Er3Zr structure.

Unit cell a=5.9969 b=6.9974 c=9.1786 alpha=79.87 beta=77.58 gamma=74.13
Last column: nearest neighbours and their distance in Å.
Space group P-1 (No. 2)
One atom of each set of equivalent atoms:
Ho: 0.0033 0.1639 0.3277 (multiplicity 2)  1 Zr 3.41, 7 Ho 3.41-3.57, 4 Er 3.48-3.54
Ho: 0.0026 0.6716 0.3265 (multiplicity 2)  4 Er 3.42-3.51, 1 Zr 3.44, 7 Ho 3.45-3.64
Ho: 0.4875 0.6727 0.8351 (multiplicity 2)  7 Ho 3.41-3.55, 4 Er 3.42-3.54, 1 Zr 3.43
Ho: 0.4966 0.1627 0.8384 (multiplicity 2)  7 Ho 3.41-3.55, 2 Zr 3.42-3.47, 3 Er 3.48-3.56
Er: 0.0000 0.5000 0.0000 (multiplicity 1)  10 Ho 3.42-3.54, 2 Zr 3.50
Er: 0.5000 0.0000 0.5000 (multiplicity 1)  10 Ho 3.48-3.51, 2 Er 3.50
Er: 0.5000 0.5000 0.5000 (multiplicity 1)  10 Ho 3.48-3.56, 2 Er 3.50
Zr: 0.0000 0.0000 0.0000 (multiplicity 1)  10 Ho 3.41-3.47, 2 Er 3.50

* energy of formation from the pure elements: 0.045 eV/atom
* total magnetization: 0.001 Bohr magnetons per cell
* electronic total energy: -4.86 eV per atom

=====

A plane-wave DFT calculation with PBE was carried out for a geometry-optimized Sr3Tc4O12 structure.

Unit cell a=7.8726 b=7.8726 c=7.8726 alpha=90.00 beta=90.00 gamma=90.00
Last column: nearest neighbours and their distance in Å.
Space group Im-3m (No. 229)
One atom of each set of equivalent atoms:
Sr: 0.0000 0.0000 0.5000 (multiplicity 6)  12 O 2.74-2.78
Tc: 0.2500 0.2500 0.2500 (multiplicity 8)  6 O 1.97
O: 0.0000 0.2543 0.2543 (multiplicity 24)  2 Tc 1.97

* total magnetization: 0.016 Bohr magnetons per cell
* formation energy (no corrections): -1930 meV per atom
* electronic total energy: -7.51 eV per atom

=====

A plane-wave DFT calculation with PBE was carried out for a geometry-optimized SrScBr2 structure.

Unit cell a=4.2252 b=4.2252 c=13.9946 alpha=90.00 beta=90.00 gamma=90.00
Last column: nearest neighbours and their distance in Å.
Space group I-4m2 (No. 119)
One atom of each set of equivalent atoms:
Sr: 0.0000 0.0000 0.0000 (multiplicity 2)  4 Br 2.99
Sc: 0.0000 0.5000 0.2500 (multiplicity 2)  4 Br 2.99
Br: 0.0000 0.0000 0.5000 (multiplicity 2)  4 Sr 2.99
Br: 0.0000 0.5000 0.7500 (multiplicity 2)  4 Sc 2.99

* energy above the lowest structure with this stoichiometry: 310 meV/atom
* total magnetization: 0.002 Bohr magnetons per cell
* formation energy (no corrections): -808 meV per atom
* electronic total energy: -3.65 eV per atom

=====

A plane-wave DFT calculation with PBE was carried out for a geometry-optimized Ti4GaCo structure.

Unit cell a=6.1069 b=6.1069 c=5.0991 alpha=90.00 beta=90.00 gamma=90.00
Last column: nearest neighbours and their distance in Å.
Space group P4/mcc (No. 124)
One atom of each set of equivalent atoms:
Ti: 0.1456 0.3248 0.0000 (multiplicity 8)  2 Co 2.52, 2 Ga 2.73, 1 Ti 2.78
Ga: 0.5000 0.5000 0.2500 (multiplicity 2)  2 Ga 2.55, 8 Ti 2.73
Co: 0.0000 0.0000 0.2500 (multiplicity 2)  8 Ti 2.52, 2 Co 2.55

* energy of formation from the pure elements: -0.274 eV/atom
* energy above the lowest structure with this stoichiometry: 0 meV/atom
* total magnetization: 0.006 Bohr magnetons per cell
* electronic total energy: -7.23 eV per atom

=====

A plane-wave DFT calculation with PBE was carried out for a geometry-optimized Na2AlRh2O6 structure.

Unit cell a=5.3285 b=8.7494 c=5.7602 alpha=90.00 beta=107.36 gamma=90.00
Last column: nearest neighbours and their distance in Å.
Space group C2/m (No. 12)
One atom of each set of equivalent atoms:
Na: 0.0000 0.1776 0.0000 (multiplicity 4)  6 O 2.38-2.44
Al: 0.0000 0.0000 0.5000 (multiplicity 2)  6 O 1.93-1.95
Rh: 0.0000 0.3414 0.5000 (multiplicity 4)  6 O 2.05-2.08
O: 0.2188 0.1631 0.6845 (multiplicity 8)  1 Al 1.95, 2 Rh 2.05-2.08
O: 0.2338 0.0000 0.3007 (multiplicity 4)  1 Al 1.93, 2 Rh 2.07

* total magnetization: 1.976 Bohr magnetons per cell
* formation energy (no corrections): -1545 meV per atom
* electronic total energy: -6.17 eV per atom

=====

A plane-wave DFT calculation with PBE was carried out for a geometry-optimized TmZrCo10 structure.

Unit cell a=3.9585 b=4.8212 c=8.3509 alpha=90.00 beta=90.00 gamma=90.00
Last column: nearest neighbours and their distance in Å.
Space group Pmmm (No. 47)
One atom of each set of equivalent atoms:
Tm: 0.0000 0.0000 0.0000 (multiplicity 1)  18 Co 2.82-3.14
Zr: 0.0000 0.5000 0.5000 (multiplicity 1)  6 Co 2.72-2.76
Co: 0.0000 0.0000 0.3403 (multiplicity 2)  7 Co 2.39-2.67
Co: 0.0000 0.5000 0.1744 (multiplicity 2)  6 Co 2.41-2.46
Co: 0.5000 0.0000 0.5000 (multiplicity 1)  8 Co 2.39
Co: 0.5000 0.2516 0.2533 (multiplicity 4)  8 Co 2.39-2.43
Co: 0.5000 0.5000 0.0000 (multiplicity 1)  8 Co 2.43-2.46

* energy of formation from the pure elements: -0.122 eV/atom
* total magnetization: 13.502 Bohr magnetons per cell
* electronic total energy: -7.13 eV per atom

=====

A plane-wave DFT calculation with PBE was carried out for a geometry-optimized ThMgNiPt structure.

Unit cell a=6.8237 b=6.8237 c=6.8237 alpha=90.00 beta=90.00 gamma=90.00
Last column: nearest neighbours and their distance in Å.
Space group F-43m (No. 216)
One atom of each set of equivalent atoms:
Th: 0.0000 0.0000 0.0000 (multiplicity 4)  4 Ni 2.95, 4 Pt 2.95
Mg: 0.0000 0.0000 0.5000 (multiplicity 4)  4 Ni 2.95, 4 Pt 2.95
Ni: 0.2500 0.2500 0.2500 (multiplicity 4)  4 Th 2.95, 4 Mg 2.95
Pt: 0.2500 0.2500 0.7500 (multiplicity 4)  4 Th 2.95, 4 Mg 2.95

* energy of formation from the pure elements: -0.635 eV/atom
* total magnetization: 0.000 Bohr magnetons per cell
* electronic total energy: -5.84 eV per atom

=====

A plane-wave DFT calculation with PBE was carried out for a geometry-optimized Tb2DyP3 structure.

Unit cell a=4.0245 b=5.6835 c=12.0599 alpha=90.00 beta=90.00 gamma=90.00
Last column: nearest neighbours and their distance in Å.
Space group Immm (No. 71)
One atom of each set of equivalent atoms:
Tb: 0.0000 0.0000 0.1667 (multiplicity 4)  6 P 2.84-2.85
Dy: 0.0000 0.0000 0.5000 (multiplicity 2)  6 P 2.84
P: 0.0000 0.5000 0.1660 (multiplicity 4)  2 Dy 2.84, 4 Tb 2.84-2.85
P: 0.0000 0.5000 0.5000 (multiplicity 2)  2 Dy 2.84, 4 Tb 2.84

* energy of formation from the pure elements: -1.614 eV/atom
* total magnetization: 0.000 Bohr magnetons per cell
* electronic total energy: -6.63 eV per atom

=====

A plane-wave DFT calculation with PBE was carried out for a geometry-optimized Zr2IrRh structure.

Unit cell a=3.7248 b=3.7248 c=5.6136 alpha=90.00 beta=90.00 gamma=90.00
Last column: nearest neighbours and their distance in Å.
Space group P4mm (No. 99)
One atom of each set of equivalent atoms:
Zr: 0.0000 0.0000 0.0000 (multiplicity 1)  4 Rh 2.73, 2 Ir 2.75-2.86
Zr: 0.5000 0.5000 0.3704 (multiplicity 1)  4 Ir 2.72, 2 Rh 2.80-2.82
Ir: 0.0000 0.0000 0.4898 (multiplicity 1)  6 Zr 2.72-2.86
Rh: 0.5000 0.5000 0.8720 (multiplicity 1)  6 Zr 2.73-2.82

* energy of formation from the pure elements: -0.598 eV/atom
* total magnetization: 0.000 Bohr magnetons per cell
* electronic total energy: -8.92 eV per atom

=====

A plane-wave DFT calculation with PBE was carried out for a geometry-optimized CaNiSn4 structure.

Unit cell a=6.2350 b=7.0564 c=7.8708 alpha=74.41 beta=67.25 gamma=89.99
Last column: nearest neighbours and their distance in Å.
Space group P-1 (No. 2)
One atom of each set of equivalent atoms:
Ca: 0.0889 0.2513 0.4929 (multiplicity 2)  10 Sn 3.37-3.59, 2 Ca 3.68-3.70
Ni: 0.0000 0.5000 0.0000 (multiplicity 1)  6 Sn 2.53-2.64
Ni: 0.5000 0.0000 0.0000 (multiplicity 1)  6 Sn 2.53-2.66
Sn: 0.0838 0.1331 0.0945 (multiplicity 2)  2 Ni 2.61-2.66
Sn: 0.3206 0.6380 0.0921 (multiplicity 2)  2 Ni 2.58-2.64
Sn: 0.3400 0.5588 0.6778 (multiplicity 2)  1 Ni 2.53
Sn: 0.4841 0.0705 0.6730 (multiplicity 2)  1 Ni 2.53

* energy of formation from the pure elements: -0.197 eV/atom
* total magnetization: 0.000 Bohr magnetons per cell
* electronic total energy: -4.16 eV per atom